DFT (GGA+U) results for a relaxed structure of TiMn3Br2O6.

Values from the calculation:
E (hartree per atom): -0.2467
Magnetization (μB per cell): 11.00
SG: C2/m, No. 12

a b c (Å): 5.743 6.101 5.947
angles (deg): 120.86 72.66 90.00
Last column: magnetic moment on the atom in μB.
Fractional coordinates of all 12 atoms:
Ti 0.500 0.000 0.000  0.14
Mn 0.000 0.500 0.000  4.61
Mn 0.500 0.500 0.500  3.58
Mn 0.500 0.000 0.500  3.58
Br 0.151 0.731 0.463  -0.17
Br 0.849 0.269 0.537  -0.17
O 0.691 0.293 0.108  -0.14
O 0.309 0.707 0.892  -0.14
O 0.666 0.790 0.580  -0.11
O 0.334 0.210 0.420  -0.11
O 0.309 0.185 0.892  -0.14
O 0.691 0.815 0.108  -0.14